# 1
Crystalline FeCo3 at its relaxed geometry. Source: Alexandria via LeMat-Bulk, functional GGA-PBEsol.

Calculated values
The value obtained for the formation enthalpy at 0 K is 75.4 meV/atom.

Cell: 3.9280 3.9280 6.7903 Å, 73.19 73.19 60.00°
With the nearest neighbours (Å) after each atom.
Positions (direct):
Co 0.4379 0.4379 0.6864  7 Co 2.39-2.40, 1 Fe 2.41
Co 0.8118 0.8118 0.5647  1 Fe 2.38, 7 Co 2.40-2.41
Co 0.1882 0.1882 0.4353  1 Fe 2.38, 7 Co 2.40-2.41
Co 0.9370 0.9370 0.1891  5 Co 2.40-2.42, 3 Fe 2.41
Co 0.5621 0.5621 0.3136  7 Co 2.39-2.40, 1 Fe 2.41
Co 0.0630 0.0630 0.8109  5 Co 2.40-2.42, 3 Fe 2.41
Fe 0.6876 0.6876 0.9372  5 Co 2.38-2.41, 3 Fe 2.41
Fe 0.3124 0.3124 0.0628  5 Co 2.38-2.41, 3 Fe 2.41


# 2
Crystalline LaOF at its relaxed geometry. Source: Alexandria via LeMat-Bulk, functional GGA-PBEsol.

Calculated values
For the uncorrected formation energy, the calculation gives -3894 meV per atom.

Cell: 4.0093 4.0093 7.0699 Å, 73.53 73.53 60.00°
With the nearest neighbours (Å) after each atom.
Positions (direct):
La 0.2582 0.2582 0.2254  4 O 2.38-2.40, 4 F 2.55-2.59
La 0.7418 0.7418 0.7746  4 O 2.38-2.40, 4 F 2.55-2.59
F 0.8710 0.8710 0.3870  4 La 2.55-2.59, 3 F 2.76
F 0.1290 0.1290 0.6130  4 La 2.55-2.59, 3 F 2.76
O 0.3770 0.3770 0.8691  4 La 2.38-2.40
O 0.6230 0.6230 0.1309  4 La 2.38-2.40


# 3
Crystalline Mg5In at its relaxed geometry. Source: Alexandria via LeMat-Bulk, functional GGA-PBEsol.

Calculated values
The value obtained for the formation enthalpy at 0 K is -55.9 meV/atom.

Cell: 5.0397 5.5438 5.5438 Å, 120.00 90.00 90.00°
With the nearest neighbours (Å) after each atom.
Positions (direct):
In 0.5000 0.0000 0.0000  12 Mg 3.12-3.20
Mg 0.0000 0.6690 0.0000  2 In 3.12, 10 Mg 3.13-3.21
Mg 0.0000 0.3310 0.3310  2 In 3.12, 10 Mg 3.13-3.21
Mg 0.0000 0.0000 0.6690  2 In 3.12, 10 Mg 3.13-3.21
Mg 0.5000 0.6667 0.3333  9 Mg 3.13-3.20, 3 In 3.20
Mg 0.5000 0.3333 0.6667  9 Mg 3.13-3.20, 3 In 3.20


Calculated total DFT energy (no corrections) (eV per atom), listed in the same order as above: -7.968; -8.068; -1.984